Compound: Pr3NdY6Er2
Source: Alexandria via LeMat-Bulk
Functional: GGA-PBE
Structure: optimized geometry

```
data_Pr3NdY6Er2
_chemical_formula_sum 'Pr6 Nd2 Y12 Er4'
_space_group_name_H-M_alt 'C 1 2/m 1'
_space_group_IT_number 12
_cell_length_a 6.254
_cell_length_b 10.826
_cell_length_c 11.902
_cell_angle_alpha 90.00
_cell_angle_beta 100.04
_cell_angle_gamma 90.00
loop_
_space_group_symop_operation_xyz
'x,y,z'
'-x,-y,-z'
'-x,y,-z'
'x,-y,z'
'x+1/2,y+1/2,z'
'-x+1/2,-y+1/2,-z'
'-x+1/2,y+1/2,-z'
'x+1/2,-y+1/2,z'
loop_
_atom_site_label
_atom_site_type_symbol
_atom_site_fract_x
_atom_site_fract_y
_atom_site_fract_z
_atom_site_occupancy
Pr1 Pr 0.000 0.000 0.000 1
Pr2 Pr 0.000 0.333 0.000 1
Nd1 Nd 0.000 0.500 0.500 1
Y1 Y 0.248 0.000 0.747 1
Y2 Y 0.249 0.333 0.747 1
Er1 Er 0.000 0.167 0.500 1
```

Computed properties:
Energy of formation from the pure elements   0.017 eV per atom